The following is a PBE-GGA calculation of an optimized crystal structure of Ba2PmZrO6, from Alexandria via LeMat-Bulk.

```
Ba2PmZrO6
1.0
0.0000 4.4124 4.4124
4.4124 0.0000 4.4124
4.4124 4.4124 0.0000
Ba Pm Zr O
2 1 1 6
direct
0.2500 0.2500 0.2500
0.7500 0.7500 0.7500
0.0000 0.0000 0.0000
0.5000 0.5000 0.5000
0.2609 0.2609 0.7391
0.2609 0.7391 0.2609
0.2609 0.7391 0.7391
0.7391 0.2609 0.2609
0.7391 0.2609 0.7391
0.7391 0.7391 0.2609
```

total DFT energy (no corrections): -7.58 eV/atom
space group: Fm-3m
formation energy without anion corrections: -2.892 eV per atom



The following is a PBE-GGA calculation of an optimized crystal structure of K2PtBr, from Alexandria via LeMat-Bulk.

```
K2PtBr
1.0
-1.7858 2.6833 6.1334
1.7858 -2.6833 6.1334
1.7858 2.6833 -6.1334
K Pt Br
2 1 1
direct
0.0000 0.0000 0.0000
0.6976 0.1976 0.5000
0.2512 0.7512 0.5000
0.4473 0.4473 0.0000
```

total DFT energy (no corrections): -2.82 eV/atom
space group: Imm2
formation energy without anion corrections: -0.344 eV per atom



The following is a PBE-GGA calculation of an optimized crystal structure of Li2TaP2, from Alexandria via LeMat-Bulk.

```
Li2TaP2
1.0
6.5963 0.0000 0.0000
0.0000 6.5963 0.0000
0.0000 0.0000 3.4969
Li Ta P
4 2 4
direct
0.1454 0.3546 0.0000
0.3546 0.8546 0.0000
0.6454 0.1454 0.0000
0.8546 0.6454 0.0000
0.0000 0.0000 0.5000
0.5000 0.5000 0.5000
0.1570 0.6570 0.5000
0.3430 0.1570 0.5000
0.6570 0.8430 0.5000
0.8430 0.3430 0.5000
```

formation energy: -0.36 eV per atom
total DFT energy (no corrections): -5.66 eV/atom
space group: P4/mbm



The following is a PBE-GGA calculation of an optimized crystal structure of Cs2KTeF6, from Alexandria via LeMat-Bulk.

```
Cs2KTeF6
1.0
-3.4831 3.4831 4.7023
3.4831 -3.4831 4.7023
3.4831 3.4831 -4.7023
Cs K Te F
2 1 1 6
direct
0.2500 0.7500 0.5000
0.7500 0.2500 0.5000
0.0000 0.0000 0.0000
0.5000 0.5000 0.0000
0.2627 0.2627 0.5255
0.2627 0.7373 0.0000
0.2753 0.2753 0.0000
0.7247 0.7247 0.0000
0.7373 0.2627 0.0000
0.7373 0.7373 0.4745
```

total DFT energy (no corrections): -4.04 eV/atom
space group: I4/mmm
formation energy without anion corrections: -2.323 eV per atom



The following is a PBE-GGA calculation of an optimized crystal structure of Na2UPaO8, from Alexandria via LeMat-Bulk.

```
Na2UPaO8
1.0
5.0831 0.0000 0.0000
0.0000 7.0878 0.0000
-0.2272 0.0000 5.1749
Na U Pa O
2 1 1 8
direct
0.0000 0.2470 0.0000
0.0000 0.7530 0.0000
0.5000 0.0000 0.5000
0.5000 0.5000 0.5000
0.2193 0.5000 0.2367
0.2251 0.0000 0.2442
0.3287 0.2387 0.6800
0.3287 0.7613 0.6800
0.6713 0.2387 0.3200
0.6713 0.7613 0.3200
0.7749 0.0000 0.7558
0.7807 0.5000 0.7633
```

total DFT energy (no corrections): -7.56 eV/atom
space group: P2/m
formation energy without anion corrections: -2.303 eV per atom



The following is a PBE-GGA calculation of an optimized crystal structure of LaTaIn2, from Alexandria via LeMat-Bulk.

```
LaTaIn2
1.0
-2.2407 2.2407 5.0131
2.2407 -2.2407 5.0131
2.2407 2.2407 -5.0131
La Ta In
1 1 2
direct
0.0000 0.0000 0.0000
0.2500 0.7500 0.5000
0.5000 0.5000 0.0000
0.7500 0.2500 0.5000
```

formation energy: 0.23 eV per atom
total DFT energy (no corrections): -5.33 eV/atom
space group: I-4m2



The following is a PBE-GGA calculation of an optimized crystal structure of Pr2NdGa, from Alexandria via LeMat-Bulk.

```
Pr2NdGa
1.0
7.0351 0.0000 0.0000
0.0000 5.1905 0.0000
-2.2691 0.0000 6.6649
Pr Nd Ga
4 2 2
direct
0.0896 0.2500 0.2805
0.3915 0.7500 0.6096
0.6085 0.2500 0.3904
0.9104 0.7500 0.7195
0.2630 0.2500 0.8761
0.7370 0.7500 0.1239
0.2811 0.7500 0.1357
0.7189 0.2500 0.8643
```

formation energy: -0.26 eV per atom
total DFT energy (no corrections): -4.59 eV/atom
space group: P2_1/m



The following is a PBE-GGA calculation of an optimized crystal structure of YTm3Ga8, from Alexandria via LeMat-Bulk.

```
YTm3Ga8
1.0
5.4183 0.0000 0.0000
-2.7092 4.6924 0.0000
0.0000 0.0000 9.1928
Y Tm Ga
1 3 8
direct
0.0000 0.0000 0.0000
0.0000 0.0000 0.3606
0.6667 0.3333 0.4999
0.6667 0.3333 0.8587
0.1613 0.3225 0.6790
0.1613 0.8387 0.6790
0.3333 0.6667 0.4303
0.3333 0.6667 0.9292
0.5053 0.0106 0.1817
0.5053 0.4947 0.1817
0.6775 0.8387 0.6790
0.9894 0.4947 0.1817
```

formation energy: -0.53 eV per atom
total DFT energy (no corrections): -4.20 eV/atom
space group: P3m1



The following is a PBE-GGA calculation of an optimized crystal structure of BaTl2Ru, from Alexandria via LeMat-Bulk.

```
BaTl2Ru
1.0
-2.6908 2.6908 3.7849
2.6908 -2.6908 3.7849
2.6908 2.6908 -3.7849
Ba Tl Ru
1 2 1
direct
0.0000 0.0000 0.0000
0.2500 0.7500 0.5000
0.5000 0.5000 0.0000
0.7500 0.2500 0.5000
```

formation energy: 0.49 eV per atom
total DFT energy (no corrections): -3.49 eV/atom
space group: I-4m2



The following is a PBE-GGA calculation of an optimized crystal structure of KBeInO3, from Alexandria via LeMat-Bulk.

```
KBeInO3
1.0
7.4990 0.0000 0.0000
0.0000 3.1982 0.0000
-2.2879 0.0000 7.2232
K Be In O
2 2 2 6
direct
0.2015 0.2500 0.2299
0.7985 0.7500 0.7701
0.0746 0.2500 0.5995
0.9254 0.7500 0.4005
0.3390 0.7500 0.8464
0.6610 0.2500 0.1536
0.1333 0.2500 0.8208
0.1415 0.7500 0.5331
0.4637 0.7500 0.1546
0.5363 0.2500 0.8454
0.8585 0.2500 0.4669
0.8667 0.7500 0.1792
```

total DFT energy (no corrections): -5.63 eV/atom
space group: P2_1/m
formation energy without anion corrections: -1.887 eV per atom



The following is a PBE-GGA calculation of an optimized crystal structure of CdHIr3, from Alexandria via LeMat-Bulk.

```
CdHIr3
1.0
4.9499 0.0000 0.0000
0.0000 4.9499 0.0000
0.0000 0.0000 4.9499
Cd H Ir
1 1 3
direct
0.0000 0.0000 0.0000
0.5000 0.5000 0.5000
0.0000 0.0000 0.5000
0.0000 0.5000 0.0000
0.5000 0.0000 0.0000
```

total DFT energy (no corrections): -3.17 eV/atom
space group: Pm-3m



The following is a PBE-GGA calculation of an optimized crystal structure of Cs2SnSe8, from Alexandria via LeMat-Bulk.

```
Cs2SnSe8
1.0
6.4953 -3.7914 0.0000
6.4953 3.7914 0.0000
-4.5089 0.0000 8.0545
Cs Sn Se
2 1 8
direct
0.2239 0.2239 0.1617
0.7761 0.7761 0.8383
0.0000 0.0000 0.5000
0.2194 0.7757 0.7337
0.2243 0.7806 0.2663
0.2367 0.2367 0.7377
0.3816 0.3816 0.6432
0.6184 0.6184 0.3568
0.7633 0.7633 0.2623
0.7757 0.2194 0.7337
0.7806 0.2243 0.2663
```

total DFT energy (no corrections): -3.50 eV/atom
space group: C2/m
formation energy without anion corrections: -0.451 eV per atom



The following is a PBE-GGA calculation of an optimized crystal structure of ReAgAs2, from Alexandria via LeMat-Bulk.

```
ReAgAs2
1.0
0.0000 3.2156 3.2156
3.2156 0.0000 3.2156
3.2156 3.2156 0.0000
Re Ag As
1 1 2
direct
0.0000 0.0000 0.0000
0.5000 0.5000 0.5000
0.2500 0.2500 0.2500
0.7500 0.7500 0.7500
```

formation energy: 0.56 eV per atom
total DFT energy (no corrections): -5.59 eV/atom
space group: Fm-3m



The following is a PBE-GGA calculation of an optimized crystal structure of NaCaCu2Si, from Alexandria via LeMat-Bulk.

```
NaCaCu2Si
1.0
4.7277 0.0000 0.0000
0.0000 4.7277 0.0000
0.0000 0.0000 5.0242
Na Ca Cu Si
1 1 2 1
direct
0.0000 0.0000 0.0000
0.5000 0.5000 0.5000
0.0000 0.5000 0.0000
0.5000 0.0000 0.0000
0.0000 0.0000 0.5000
```

total DFT energy (no corrections): -2.65 eV/atom
space group: P4/mmm
formation energy without anion corrections: 0.739 eV per atom



The following is a PBE-GGA calculation of an optimized crystal structure of BiRhPbO6, from Alexandria via LeMat-Bulk.

```
BiRhPbO6
1.0
5.5282 0.0000 0.0000
-2.7641 4.7876 0.0000
0.0000 0.0000 9.5059
Bi Rh Pb O
2 2 2 12
direct
0.3333 0.6667 0.2500
0.6667 0.3333 0.7500
0.3333 0.6667 0.7500
0.6667 0.3333 0.2500
0.0000 0.0000 0.0000
0.0000 0.0000 0.5000
0.0279 0.3756 0.6320
0.0279 0.6523 0.8680
0.3477 0.3756 0.8680
0.3477 0.9721 0.6320
0.3756 0.0279 0.1320
0.3756 0.3477 0.3680
0.6244 0.6523 0.6320
0.6244 0.9721 0.8680
0.6523 0.0279 0.3680
0.6523 0.6244 0.1320
0.9721 0.3477 0.1320
0.9721 0.6244 0.3680
```

total DFT energy (no corrections): -5.79 eV/atom
space group: P-31c
formation energy without anion corrections: -0.826 eV per atom



The following is a PBE-GGA calculation of an optimized crystal structure of NaSrInBr6, from Alexandria via LeMat-Bulk.

```
NaSrInBr6
1.0
7.4434 0.0000 0.0000
-3.7217 6.4462 0.0000
0.0000 0.0000 13.0540
Na Sr In Br
2 2 2 12
direct
0.0000 0.0000 0.0000
0.0000 0.0000 0.5000
0.3333 0.6667 0.2500
0.6667 0.3333 0.7500
0.3333 0.6667 0.7500
0.6667 0.3333 0.2500
0.0350 0.3681 0.6281
0.0350 0.6669 0.8719
0.3331 0.3681 0.8719
0.3331 0.9650 0.6281
0.3681 0.0350 0.1281
0.3681 0.3331 0.3719
0.6319 0.6669 0.6281
0.6319 0.9650 0.8719
0.6669 0.0350 0.3719
0.6669 0.6319 0.1281
0.9650 0.3331 0.1281
0.9650 0.6319 0.3719
```

total DFT energy (no corrections): -3.15 eV/atom
space group: P-31c
formation energy without anion corrections: -1.393 eV per atom



The following is a PBE-GGA calculation of an optimized crystal structure of MgPt2F8, from Alexandria via LeMat-Bulk.

```
MgPt2F8
1.0
4.6024 -3.3816 0.0000
4.6024 3.3816 0.0000
-0.3692 0.0000 4.7066
Mg Pt F
1 2 8
direct
0.0000 0.0000 0.0000
0.3802 0.3802 0.7534
0.6198 0.6198 0.2466
0.0921 0.6792 0.7605
0.1667 0.1667 0.7528
0.3208 0.9079 0.2395
0.3999 0.3999 0.2613
0.6001 0.6001 0.7387
0.6792 0.0921 0.7605
0.8333 0.8333 0.2472
0.9079 0.3208 0.2395
```

total DFT energy (no corrections): -4.35 eV/atom
space group: C2/m
formation energy without anion corrections: -1.749 eV per atom



The following is a PBE-GGA calculation of an optimized crystal structure of SnPSeO2, from Alexandria via LeMat-Bulk.

```
SnPSeO2
1.0
3.9368 0.0000 0.0000
0.0000 3.9368 0.0000
0.0000 0.0000 4.9653
Sn P Se O
1 1 1 2
direct
0.0000 0.0000 0.0000
0.5000 0.5000 0.0000
0.5000 0.5000 0.5000
0.0000 0.5000 0.5000
0.5000 0.0000 0.5000
```

total DFT energy (no corrections): -4.67 eV/atom
space group: P4/mmm
formation energy without anion corrections: -0.103 eV per atom



The following is a PBE-GGA calculation of an optimized crystal structure of LiThTcO6, from Alexandria via LeMat-Bulk.

```
LiThTcO6
1.0
4.9862 0.0000 0.0000
0.0000 4.9862 0.0000
0.0000 0.0000 9.8011
Li Th Tc O
2 2 2 12
direct
0.0000 0.0000 0.0000
0.5000 0.5000 0.5000
0.0000 0.0000 0.6548
0.5000 0.5000 0.1548
0.0000 0.0000 0.3189
0.5000 0.5000 0.8188
0.1816 0.1816 0.1692
0.1868 0.1868 0.4545
0.2321 0.2321 0.8183
0.2679 0.7321 0.3183
0.3132 0.6868 0.9545
0.3184 0.6816 0.6692
0.6816 0.3184 0.6692
0.6868 0.3132 0.9545
0.7321 0.2679 0.3183
0.7679 0.7679 0.8183
0.8132 0.8132 0.4545
0.8184 0.8184 0.1692
```

total DFT energy (no corrections): -7.62 eV/atom
space group: P4_2nm
formation energy without anion corrections: -2.128 eV per atom



The following is a PBE-GGA calculation of an optimized crystal structure of RhSe3Cl, from Alexandria via LeMat-Bulk.

```
RhSe3Cl
1.0
4.9046 0.0000 0.0000
0.0000 4.9046 0.0000
0.0000 0.0000 4.9046
Rh Se Cl
1 3 1
direct
0.0000 0.0000 0.0000
0.0000 0.0000 0.5000
0.0000 0.5000 0.0000
0.5000 0.0000 0.0000
0.5000 0.5000 0.5000
```

total DFT energy (no corrections): -3.49 eV/atom
space group: Pm-3m
formation energy without anion corrections: 0.441 eV per atom



The following is a PBE-GGA calculation of an optimized crystal structure of CaTc, from Alexandria via LeMat-Bulk.

```
CaTc
1.0
3.7619 0.0000 0.0000
-1.8810 3.2579 0.0000
0.0000 0.0000 9.1721
Ca Tc
2 2
direct
0.3333 0.6667 0.1870
0.6667 0.3333 0.8130
0.3333 0.6667 0.5554
0.6667 0.3333 0.4446
```

formation energy: 0.46 eV per atom
total DFT energy (no corrections): -5.72 eV/atom
space group: P-3m1



The following is a PBE-GGA calculation of an optimized crystal structure of PmPr2Y6Ho, from Alexandria via LeMat-Bulk.

```
PmPr2Y6Ho
1.0
4.5584 -7.5259 0.0000
4.5584 7.5259 0.0000
-1.8424 0.0000 9.7575
Pm Pr Y Ho
2 4 12 2
direct
0.0961 0.9039 0.7500
0.9039 0.0961 0.2500
0.2128 0.3110 0.9563
0.3110 0.2128 0.4563
0.6890 0.7872 0.5437
0.7872 0.6890 0.0437
0.0023 0.7961 0.3813
0.0801 0.5246 0.1853
0.2039 0.9977 0.1187
0.2434 0.6213 0.5565
0.3787 0.7566 0.9435
0.4754 0.9199 0.3147
0.5246 0.0801 0.6853
0.6213 0.2434 0.0565
0.7566 0.3787 0.4435
0.7961 0.0023 0.8813
0.9199 0.4754 0.8147
0.9977 0.2039 0.6187
0.4836 0.5164 0.2500
0.5164 0.4836 0.7500
```

formation energy: 0.12 eV per atom
total DFT energy (no corrections): -5.65 eV/atom
space group: C2/c